Entry 1:
The following is a PBE-GGA calculation of Nd2Sm3S6 after structural relaxation, from Alexandria.

```
Nd2Sm3S6
1.0
3.496 -6.034 0.000
3.496 6.034 0.000
-2.320 0.000 6.570
Nd Sm S
2 3 6
Cartesian
3.496 4.035 0.000
3.496 -4.035 0.000
-1.160 0.000 3.285
2.336 1.961 3.285
2.336 -1.961 3.285
0.005 2.017 4.885
1.177 0.000 1.645
0.005 -2.017 4.885
4.667 2.017 1.685
3.495 0.000 4.925
4.667 -2.017 1.685
```

Calculated values
The value obtained for the magnetization is 0.00 μB per formula unit. The formation energy without anion corrections comes out at -2.059 eV per atom.

---

Entry 2:
The following is a PBE-GGA calculation of NaSb2Ru after structural relaxation, from Alexandria.

```
NaSb2Ru
1.0
0.000 3.405 3.405
3.405 0.000 3.405
3.405 3.405 0.000
Na Sb Ru
1 2 1
Cartesian
0.000 0.000 0.000
1.703 1.703 1.703
5.108 5.108 5.108
3.405 3.405 3.405
```

Calculated values
The value obtained for the magnetization is 0.00 μB per formula unit. As for the energy above the most stable polymorph in this dataset: 187 meV per atom. The formation energy without anion corrections comes out at 0.016 eV per atom.

---

Entry 3:
The following is a PBE-GGA calculation of Cs3GaO3 after structural relaxation, from Alexandria.

```
Cs3GaO3
1.0
9.328 0.000 0.000
0.000 9.328 0.000
0.000 0.000 9.328
Cs Ga O
12 4 12
Cartesian
0.066 0.066 0.066
2.083 2.581 6.747
2.333 2.333 2.333
2.331 6.995 6.997
2.581 6.747 2.083
4.598 9.262 4.730
4.730 4.598 9.262
6.747 2.083 2.581
6.997 2.331 6.995
6.995 6.997 2.331
7.245 7.245 7.245
9.262 4.730 4.598
0.359 5.023 8.969
4.305 4.305 4.305
5.023 8.969 0.359
8.969 0.359 5.023
0.103 1.883 4.161
0.503 9.225 6.547
1.883 4.161 0.103
2.781 5.167 4.768
4.161 0.103 1.883
4.561 7.445 8.825
4.768 2.781 5.167
5.167 4.768 2.781
6.547 0.503 9.225
7.445 8.825 4.561
8.825 4.561 7.445
9.225 6.547 0.503
```

Calculated values
The value obtained for the magnetization is 0.08 μB per formula unit. As for the energy above the most stable polymorph in this dataset: 41 meV per atom. The formation energy without anion corrections comes out at -1.469 eV per atom.

---

Entry 4:
The following is a PBE-GGA calculation of RbZnSiOs2 after structural relaxation, from Alexandria.

```
RbZnSiOs2
1.0
4.809 0.000 0.000
0.000 4.809 0.000
0.000 0.000 4.712
Rb Zn Si Os
1 1 1 2
Cartesian
0.000 0.000 0.000
2.404 2.404 2.356
2.404 2.404 0.000
0.000 2.404 2.356
2.404 0.000 2.356
```

Calculated values
The value obtained for the magnetization is 2.72 μB per formula unit. The formation energy without anion corrections comes out at 1.889 eV per atom.

---

Entry 5:
The following is a PBE-GGA calculation of Y3Ga5O12 after structural relaxation, from Alexandria.

```
Y3Ga5O12
1.0
-6.214 6.214 6.214
6.214 -6.214 6.214
6.214 6.214 -6.214
Y Ga O
12 20 48
Cartesian
3.107 1.553 0.000
6.214 3.107 -1.553
1.553 0.000 3.107
7.767 0.000 3.107
0.000 3.107 1.553
3.107 -1.553 6.214
3.107 7.767 0.000
6.214 3.107 4.660
-1.553 6.214 3.107
4.660 6.214 3.107
0.000 3.107 7.767
3.107 4.660 6.214
0.000 0.000 0.000
3.107 3.107 -3.107
3.107 -3.107 3.107
6.214 0.000 0.000
9.320 1.553 0.000
6.214 -3.107 4.660
4.660 6.214 -3.107
4.660 0.000 3.107
3.107 4.660 0.000
6.214 3.107 1.553
-3.107 3.107 3.107
0.000 6.214 0.000
0.000 0.000 6.214
3.107 3.107 3.107
0.000 3.107 4.660
3.107 1.553 6.214
1.553 6.214 3.107
1.553 0.000 9.320
0.000 9.320 1.553
-3.107 4.660 6.214
1.869 -0.336 0.688
7.452 3.794 -3.443
8.082 0.336 0.688
7.452 -2.419 3.443
5.877 -0.688 1.869
9.657 -1.238 2.419
0.688 1.869 -0.336
8.633 2.771 -1.238
3.794 3.443 -1.238
5.526 1.869 0.336
-0.336 0.688 1.869
3.443 -1.238 3.794
5.877 5.526 -1.869
3.443 1.238 2.419
3.794 -3.443 7.452
5.526 -1.869 5.877
2.419 3.443 1.238
6.901 4.345 0.336
3.443 7.452 -2.419
5.877 0.688 4.345
1.869 5.877 -0.688
7.452 2.419 2.771
1.238 2.419 3.443
1.869 0.336 5.526
4.345 5.877 0.688
4.975 3.794 2.771
-1.238 3.794 3.443
4.345 0.336 6.901
0.336 5.526 1.869
2.771 -1.238 8.633
-0.688 1.869 5.877
3.794 2.771 4.975
0.688 8.082 0.336
2.419 9.657 -1.238
2.771 4.975 3.794
0.336 0.688 8.082
2.771 7.452 2.419
6.550 5.526 4.345
0.688 4.345 5.877
2.419 2.771 7.452
-2.419 3.443 7.452
5.526 4.345 6.550
-3.443 7.452 3.794
0.336 6.901 4.345
-1.238 8.633 2.771
-1.869 5.877 5.526
-1.238 2.419 9.657
4.345 6.550 5.526
```

Calculated values
The value obtained for the magnetization is 0.00 μB per formula unit. The formation energy without anion corrections comes out at -2.540 eV per atom.

---

Entry 6:
The following is a PBE-GGA calculation of Sc2NiPb after structural relaxation, from Alexandria.

```
Sc2NiPb
1.0
-1.663 2.329 5.332
1.663 -2.329 5.332
1.663 2.329 -5.332
Sc Ni Pb
2 1 1
Cartesian
0.000 0.000 0.000
0.000 2.329 2.168
1.663 0.000 2.069
0.000 0.000 4.368
```

Calculated values
The calculated formation energy comes out at -0.30 eV per atom. The value obtained for the magnetization is 0.00 μB per formula unit.

---

Entry 7:
The following is a PBE-GGA calculation of SmGa6Pt3 after structural relaxation, from Alexandria.

```
SmGa6Pt3
1.0
8.859 0.000 0.000
0.000 4.318 0.000
-0.590 0.000 9.501
Sm Ga Pt
2 12 6
Cartesian
0.310 1.079 2.803
7.959 3.238 6.698
0.899 3.238 0.306
1.133 1.079 5.853
2.419 3.238 2.385
2.282 3.238 7.448
3.534 1.079 4.100
3.577 1.079 8.568
4.692 3.238 0.932
4.735 3.238 5.401
5.988 1.079 2.053
5.850 1.079 7.116
7.136 3.238 3.647
7.370 1.079 9.194
1.016 1.079 8.477
2.131 3.238 4.879
3.404 1.079 1.491
4.865 3.238 8.010
6.138 1.079 4.622
7.253 3.238 1.024
```

Calculated values
The calculated formation energy comes out at -0.70 eV per atom. The value obtained for the magnetization is 0.00 μB per formula unit.

---

Entry 8:
The following is a PBE-GGA calculation of K2BaTlB after structural relaxation, from Alexandria.

```
K2BaTlB
1.0
7.284 0.000 0.000
0.000 7.284 0.000
0.000 0.000 4.924
K Ba Tl B
2 1 1 1
Cartesian
0.000 3.642 0.000
3.642 0.000 0.000
0.000 0.000 0.000
3.642 3.642 2.462
0.000 0.000 2.462
```

Calculated values
The calculated formation energy comes out at 0.98 eV per atom. The value obtained for the magnetization is 0.00 μB per formula unit.

---

Entry 9:
The following is a PBE-GGA calculation of Tm4NiAu3 after structural relaxation, from Alexandria.

```
Tm4NiAu3
1.0
3.673 0.000 0.000
0.000 4.587 0.000
0.000 0.000 10.575
Tm Ni Au
4 1 3
Cartesian
0.000 0.000 0.000
0.000 2.294 2.787
1.836 0.000 5.012
1.836 2.294 8.138
1.836 0.000 2.213
0.000 0.000 7.591
0.000 2.294 5.689
1.836 2.294 0.504
```

Calculated values
The calculated formation energy comes out at -0.79 eV per atom. The value obtained for the magnetization is 0.00 μB per formula unit.

---

Entry 10:
The following is a PBE-GGA calculation of Sc2AlNi after structural relaxation, from Alexandria.

```
Sc2AlNi
1.0
0.000 3.246 3.246
3.246 0.000 3.246
3.246 3.246 0.000
Sc Al Ni
2 1 1
Cartesian
0.000 0.000 0.000
1.623 1.623 1.623
3.246 3.246 3.246
4.869 4.869 4.869
```

Calculated values
The calculated formation energy comes out at -0.24 eV per atom. The value obtained for the magnetization is 0.94 μB per formula unit.

---

Entry 11:
The following is a PBE-GGA calculation of Nd3SmDy after structural relaxation, from Alexandria.

```
Nd3SmDy
1.0
6.041 0.000 0.000
0.000 9.285 3.040
0.000 -9.285 3.040
Nd Sm Dy
6 2 2
Cartesian
1.510 -8.251 3.040
1.510 -4.565 3.110
1.510 6.568 3.172
4.531 -6.568 3.172
4.531 4.565 3.110
4.531 8.251 3.040
1.510 -0.888 3.144
4.531 0.888 3.144
1.510 2.801 3.031
4.531 -2.801 3.031
```

Calculated values
The calculated formation energy comes out at 0.11 eV per atom. The value obtained for the magnetization is 0.00 μB per formula unit. As for the energy above the most stable polymorph in this dataset: 0 meV per atom.

---

Entry 12:
The following is a PBE-GGA calculation of KAgAs2S4 after structural relaxation, from Alexandria.

```
KAgAs2S4
1.0
-2.940 3.219 5.671
2.940 -3.219 5.671
2.940 3.219 -5.671
K Ag As S
1 1 2 4
Cartesian
0.000 0.000 0.000
0.000 0.000 5.671
2.940 0.000 2.570
0.000 3.219 3.101
1.535 -1.139 3.906
1.405 2.080 1.766
1.405 4.358 -1.766
1.535 1.139 7.437
```

Calculated values
The value obtained for the magnetization is 0.00 μB per formula unit. The formation energy without anion corrections comes out at -0.278 eV per atom.

---

Entry 13:
The following is a PBE-GGA calculation of YScAs2 after structural relaxation, from Alexandria.

```
YScAs2
1.0
-2.104 2.836 3.689
2.104 -2.836 3.689
2.104 2.836 -3.689
Y Sc As
1 1 2
Cartesian
0.000 0.000 0.000
0.000 0.000 3.689
2.104 0.000 1.935
0.000 2.836 1.754
```

Calculated values
The calculated formation energy comes out at -1.07 eV per atom. The value obtained for the magnetization is 0.00 μB per formula unit. As for the energy above the most stable polymorph in this dataset: 379 meV per atom.

---

Entry 14:
The following is a PBE-GGA calculation of Dy4Np2S9 after structural relaxation, from Alexandria.

```
Dy4Np2S9
1.0
6.947 0.000 0.000
-3.473 6.016 0.000
0.000 0.000 18.609
Dy Np S
8 4 18
Cartesian
0.000 4.011 3.419
0.000 4.011 9.001
0.000 4.011 12.724
0.000 4.011 18.306
3.473 2.005 0.303
3.473 2.005 5.885
3.473 2.005 9.607
3.473 2.005 15.189
0.000 0.000 2.781
0.000 0.000 6.523
0.000 0.000 12.085
0.000 0.000 15.828
-1.046 1.811 4.652
-2.428 4.205 13.957
-1.073 2.236 10.862
-2.073 3.969 1.558
2.091 0.000 4.652
1.046 1.811 13.957
1.073 2.236 1.558
-1.000 5.827 10.862
2.473 0.189 17.051
1.400 2.047 7.746
2.073 3.969 10.862
1.000 5.827 1.558
4.474 0.189 7.746
2.400 3.780 17.051
4.856 0.000 13.957
2.428 4.205 4.652
5.547 2.047 17.051
4.546 3.780 7.746
```

Calculated values
The value obtained for the magnetization is 8.00 μB per formula unit. The formation energy without anion corrections comes out at -1.785 eV per atom.

---

Entry 15:
The following is a PBE-GGA calculation of ScCrIn2 after structural relaxation, from Alexandria.

```
ScCrIn2
1.0
3.401 0.000 0.000
0.000 3.401 0.000
0.000 0.000 7.191
Sc Cr In
1 1 2
Cartesian
0.000 0.000 0.000
0.000 0.000 3.595
1.701 1.701 1.947
1.701 1.701 5.244
```

Calculated values
The calculated formation energy comes out at -0.02 eV per atom. The value obtained for the magnetization is 4.20 μB per formula unit. As for the energy above the most stable polymorph in this dataset: 30 meV per atom.

---

Entry 16:
The following is a PBE-GGA calculation of HfTi2SnH after structural relaxation, from Alexandria.

```
HfTi2SnH
1.0
4.290 0.000 0.000
0.000 4.290 0.000
0.000 0.000 4.211
Hf Ti Sn H
1 2 1 1
Cartesian
0.000 0.000 0.000
0.000 2.145 2.105
2.145 0.000 2.105
2.145 2.145 0.000
0.000 0.000 2.105
```

Calculated values
The value obtained for the magnetization is 0.00 μB per formula unit. As for the energy above the most stable polymorph in this dataset: 0 meV per atom.

---

Entry 17:
The following is a PBE-GGA calculation of Ca3In4Ni8 after structural relaxation, from Alexandria.

```
Ca3In4Ni8
1.0
9.007 0.000 0.000
-4.503 7.800 0.000
0.000 0.000 7.536
Ca In Ni
6 8 16
Cartesian
-1.851 4.132 0.000
1.851 4.132 0.000
0.000 7.337 0.000
4.503 0.463 3.768
2.653 3.668 3.768
6.354 3.668 3.768
0.000 2.639 5.243
-2.218 6.480 5.243
0.000 5.200 2.572
2.286 1.320 1.475
2.218 6.480 5.243
4.503 2.600 6.340
6.721 1.320 1.475
4.503 5.161 1.475
0.000 0.000 2.014
0.000 0.000 5.782
0.000 1.526 0.112
-3.182 7.037 0.112
0.000 2.499 2.465
-2.339 6.550 2.465
1.322 0.763 3.879
2.165 1.250 6.233
0.000 5.200 5.251
4.503 2.600 1.483
2.339 6.550 2.465
3.182 7.037 0.112
6.842 1.250 6.233
4.503 5.301 6.233
7.685 0.763 3.879
4.503 6.274 3.879
```

Calculated values
The calculated formation energy comes out at -0.26 eV per atom. The value obtained for the magnetization is 0.00 μB per formula unit.

---

Entry 18:
The following is a PBE-GGA calculation of BaSi2Ru after structural relaxation, from Alexandria.

```
BaSi2Ru
1.0
-2.420 2.420 3.437
2.420 -2.420 3.437
2.420 2.420 -3.437
Ba Si Ru
1 2 1
Cartesian
0.000 0.000 0.000
0.000 0.000 3.437
0.000 2.420 1.718
2.420 0.000 1.718
```

Calculated values
The value obtained for the magnetization is 0.00 μB per formula unit. The formation energy without anion corrections comes out at 0.681 eV per atom.

---

Entry 19:
The following is a PBE-GGA calculation of Ir2BrN after structural relaxation, from Alexandria.

```
Ir2BrN
1.0
-2.445 2.445 5.801
2.445 -2.445 5.801
2.445 2.445 -5.801
Ir Br N
4 2 2
Cartesian
3.668 0.619 -1.450
0.619 1.223 1.450
-1.223 1.826 4.351
1.826 1.223 7.252
2.445 0.000 2.901
0.000 0.000 5.801
0.000 0.000 0.000
0.000 2.445 2.901
```

Calculated values
The value obtained for the magnetization is 0.00 μB per formula unit. As for the energy above the most stable polymorph in this dataset: 0 meV per atom. The formation energy without anion corrections comes out at 0.823 eV per atom.